(1)
DFT (PBE) results for a relaxed InTe2SeN crystal.

The structure in extended XYZ format:
```
5
Lattice="5.957 0.000 0.000 0.000 5.957 0.000 0.000 0.000 3.668" Properties=species:S:1:pos:R:3 pbc="T T T"
N 0.000 0.000 1.834
Te 0.000 2.979 0.000
Te 2.979 0.000 0.000
Se 0.000 0.000 0.000
In 2.979 2.979 1.834
```

Properties
The calculation puts the offset from the most stable computed form at 0.00 kJ/mol of atoms. The crystal system is tetragonal. The calculation puts the calculated volume at 26.035 Å³ per atom.

(2)
DFT (PBE) results for a relaxed InTeSe2N crystal.

The structure in extended XYZ format:
```
5
Lattice="5.487 0.000 0.000 0.000 5.487 0.000 0.000 0.000 3.999" Properties=species:S:1:pos:R:3 pbc="T T T"
N 0.000 0.000 2.000
Te 0.000 0.000 0.000
Se 0.000 2.743 0.000
Se 2.743 0.000 0.000
In 2.743 2.743 2.000
```

Properties
The calculation puts the offset from the most stable computed form at 0.00 kJ/mol of atoms. The crystal system is tetragonal. The calculation puts the calculated volume at 24.080 Å³ per atom.

(3)
DFT (PBE) results for a relaxed InTe2SeN crystal.

The structure in extended XYZ format:
```
5
Lattice="-0.270 5.821 -0.013 -4.882 -0.219 3.174 2.192 0.109 3.379" Properties=species:S:1:pos:R:3 pbc="T T T"
N 1.096 0.055 1.690
Te -2.441 -0.110 1.587
Te -0.135 2.911 -0.007
Se -1.480 2.856 3.270
In 0.000 0.000 0.000
```

Properties
The calculation puts the offset from the most stable computed form at 26.35 kJ/mol of atoms. The crystal system is tetragonal. The calculation puts the calculated volume at 27.366 Å³ per atom.

(4)
DFT (PBE) results for a relaxed TiInSe2N crystal.

The structure in extended XYZ format:
```
5
Lattice="-1.531 -0.480 -4.944 -1.533 -4.875 0.948 -3.432 1.262 0.941" Properties=species:S:1:pos:R:3 pbc="T T T"
N -1.716 0.631 0.470
Ti 0.000 0.000 0.000
Se -0.766 -2.438 0.474
Se -0.766 -0.240 -2.472
In -3.248 -2.046 -1.528
```

Properties
The calculation puts the offset from the most stable computed form at 0.00 kJ/mol of atoms. The crystal system is tetragonal. The calculation puts the calculated volume at 20.400 Å³ per atom.

(5)
DFT (PBE) results for a relaxed TiInSe2N crystal.

The structure in extended XYZ format:
```
5
Lattice="-2.882 -2.945 -3.433 2.288 -4.461 1.906 -2.944 -0.332 2.756" Properties=species:S:1:pos:R:3 pbc="T T T"
N -1.472 -0.166 1.378
Ti -1.769 -3.869 0.614
Se 1.144 -2.230 0.953
Se -1.441 -1.472 -1.717
In 0.000 0.000 0.000
```

Properties
The calculation puts the offset from the most stable computed form at 98.12 kJ/mol of atoms. The crystal system is tetragonal. The calculation puts the calculated volume at 23.279 Å³ per atom.

(6)
DFT (PBE) results for a relaxed TlInSeN2 crystal.

The structure in extended XYZ format:
```
5
Lattice="4.382 0.000 0.000 0.000 4.382 0.000 0.000 0.000 5.750" Properties=species:S:1:pos:R:3 pbc="T T T"
Tl 2.191 2.191 2.875
N 0.000 2.191 0.000
N 2.191 0.000 0.000
Se 0.000 0.000 2.875
In 0.000 0.000 0.000
```

Properties
The calculation puts the offset from the most stable computed form at 0.00 kJ/mol of atoms. The crystal system is tetragonal. The calculation puts the calculated volume at 22.083 Å³ per atom.

(7)
DFT (PBE) results for a relaxed TlInSe2N crystal.

The structure in extended XYZ format:
```
5
Lattice="-5.236 -1.297 -1.373 -0.002 -4.042 3.827 -1.478 2.817 2.974" Properties=species:S:1:pos:R:3 pbc="T T T"
Tl 0.000 0.000 0.000
N -0.739 1.409 1.487
Se -0.001 -2.021 1.914
Se -2.618 -0.649 -0.686
In -3.358 -1.261 2.714
```

Properties
The calculation puts the offset from the most stable computed form at 31.75 kJ/mol of atoms. The crystal system is tetragonal. The calculation puts the calculated volume at 26.988 Å³ per atom.

(8)
DFT (PBE) results for a relaxed TlInSe2N crystal.

The structure in extended XYZ format:
```
5
Lattice="5.530 0.000 0.000 0.000 5.530 0.000 0.000 0.000 4.259" Properties=species:S:1:pos:R:3 pbc="T T T"
Tl 2.765 2.765 2.130
N 0.000 0.000 2.130
Se 0.000 2.765 0.000
Se 2.765 0.000 0.000
In 0.000 0.000 0.000
```

Properties
The calculation puts the offset from the most stable computed form at 0.00 kJ/mol of atoms. The crystal system is tetragonal. The calculation puts the calculated volume at 26.052 Å³ per atom.

(9)
DFT (PBE) results for a relaxed TlInSeN2 crystal.

The structure in extended XYZ format:
```
5
Lattice="4.405 0.000 0.000 0.000 4.405 0.000 0.000 0.000 6.038" Properties=species:S:1:pos:R:3 pbc="T T T"
Tl 0.000 0.000 0.000
N 0.000 2.202 0.000
N 2.202 0.000 0.000
Se 0.000 0.000 3.019
In 2.202 2.202 3.019
```

Properties
The calculation puts the offset from the most stable computed form at 33.56 kJ/mol of atoms. The crystal system is tetragonal. The calculation puts the calculated volume at 23.428 Å³ per atom.

(10)
DFT (PBE) results for a relaxed UInSe2N crystal.

The structure in extended XYZ format:
```
10
Lattice="3.837 0.000 0.000 0.000 3.837 0.000 0.000 0.000 15.245" Properties=species:S:1:pos:R:3 pbc="T T T"
U 1.918 0.000 8.802
U 0.000 1.918 6.443
In 1.918 0.000 2.144
In 0.000 1.918 13.101
Se 0.000 1.918 10.312
Se 0.000 1.918 1.525
Se 1.918 0.000 13.721
Se 1.918 0.000 4.934
N 0.000 0.000 7.623
N 1.918 1.918 7.623
```

Properties
The crystal system is tetragonal. The calculation puts the calculated volume at 22.442 Å³ per atom.

(11)
DFT (PBE) results for a relaxed InWSe2N crystal.

The structure in extended XYZ format:
```
5
Lattice="5.151 0.000 0.000 0.000 5.151 0.000 0.000 0.000 3.850" Properties=species:S:1:pos:R:3 pbc="T T T"
N 0.000 0.000 1.925
Se 0.000 2.575 0.000
Se 2.575 0.000 0.000
W 0.000 0.000 0.000
In 2.575 2.575 1.925
```

Properties
The calculation puts the offset from the most stable computed form at 0.00 kJ/mol of atoms. The crystal system is tetragonal. The calculation puts the calculated volume at 20.427 Å³ per atom.

(12)
DFT (PBE) results for a relaxed InWSe2N crystal.

The structure in extended XYZ format:
```
5
Lattice="5.338 0.000 0.000 0.000 5.338 0.000 0.000 0.000 3.985" Properties=species:S:1:pos:R:3 pbc="T T T"
N 0.000 0.000 1.992
Se 0.000 2.669 0.000
Se 2.669 0.000 0.000
W 2.669 2.669 1.992
In 0.000 0.000 0.000
```

Properties
The calculation puts the offset from the most stable computed form at 156.90 kJ/mol of atoms. The crystal system is tetragonal. The calculation puts the calculated volume at 22.711 Å³ per atom.

(13)
DFT (PBE) results for a relaxed YInSeN2 crystal.

The structure in extended XYZ format:
```
5
Lattice="-0.704 2.179 3.911 -4.401 0.390 -1.009 -1.043 -5.022 2.610" Properties=species:S:1:pos:R:3 pbc="T T T"
Y 0.000 0.000 0.000
N -2.200 0.195 -0.505
N -0.352 1.089 1.955
Se -0.522 -2.511 1.305
In -3.074 -1.226 2.756
```

Properties
The calculation puts the offset from the most stable computed form at 0.20 kJ/mol of atoms. The crystal system is tetragonal. The calculation puts the calculated volume at 23.637 Å³ per atom.

(14)
DFT (PBE) results for a relaxed YInSeN2 crystal.

The structure in extended XYZ format:
```
5
Lattice="-0.199 0.866 -4.205 1.980 -3.717 -0.859 -4.969 -2.578 -0.296" Properties=species:S:1:pos:R:3 pbc="T T T"
Y -1.594 -2.714 -2.680
N 0.990 -1.858 -0.430
N -0.100 0.433 -2.102
Se -2.484 -1.289 -0.148
In 0.000 0.000 0.000
```

Properties
The calculation puts the offset from the most stable computed form at 0.00 kJ/mol of atoms. The crystal system is tetragonal. The calculation puts the calculated volume at 20.707 Å³ per atom.

no.,uncorrected formation energy (meV/atom)
1,736
2,674
3,1009
4,-262
5,754
6,1175
7,917
8,588
9,1523
10,-1014
11,5
12,1631
13,504
14,502